A plane-wave DFT calculation with PBE was carried out for CaGa2CoCu after structural relaxation.

Computed properties:
final energy	-4.02	eV per atom
total magnetization	0.00	μB per cell
SG	No. 123
crystal system	tetragonal

a b c (Å): 4.487 4.487 4.748
angles (deg): 90.00 90.00 90.00
Fractional coordinates of all 5 atoms:
Cu  0.000  0.000  0.500
Ga  0.000  0.500  0.000
Ga  0.500  0.000  0.000
Co  0.000  0.000  0.000
Ca  0.500  0.500  0.500

=====

A plane-wave DFT calculation with PBE was carried out for CaGa3CoCu after structural relaxation.

Computed properties:
final energy	-3.89	eV per atom
total magnetization	0.72	μB per cell
SG	No. 63
crystal system	orthorhombic

a b c (Å): 5.752 6.269 6.778
angles (deg): 117.55 90.00 90.00
Fractional coordinates of all 12 atoms:
Ca  0.250  0.736  0.472
Ca  0.750  0.264  0.528
Cu  0.750  0.643  0.285
Cu  0.250  0.357  0.715
Ga  0.000  0.703  0.000
Ga  0.500  0.297  0.000
Ga  0.000  0.297  0.000
Ga  0.250  0.157  0.315
Ga  0.750  0.843  0.685
Ga  0.500  0.703  0.000
Co  0.250  0.967  0.935
Co  0.750  0.033  0.065

=====

A plane-wave DFT calculation with PBE was carried out for CaGdCoCu after structural relaxation.

Computed properties:
final energy	-6.79	eV per atom
total magnetization	6.81	μB per cell
SG	No. 216
crystal system	cubic

a b c (Å): 4.867 4.867 4.867
angles (deg): 60.00 60.00 60.00
Fractional coordinates of all 4 atoms:
Cu  0.000  0.000  0.000
Co  0.500  0.500  0.500
Ca  0.750  0.750  0.750
Gd  0.250  0.250  0.250

=====

A plane-wave DFT calculation with PBE was carried out for Ca2CoCuH6 after structural relaxation.

Computed properties:
final energy	-3.94	eV per atom
total magnetization	0.00	μB per cell
SG	No. 139
crystal system	tetragonal

a b c (Å): 5.048 5.048 5.032
angles (deg): 120.15 120.15 89.93
Fractional coordinates of all 10 atoms:
Co  0.000  0.000  0.000
H  0.766  0.767  0.999
H  0.234  0.767  0.000
H  0.765  0.766  0.530
H  0.766  0.234  0.000
H  0.235  0.235  0.469
H  0.234  0.234  0.000
Cu  0.500  0.500  0.000
Ca  0.250  0.750  0.500
Ca  0.750  0.250  0.500

=====

A plane-wave DFT calculation with PBE was carried out for CaCoCuH6 after structural relaxation.

Computed properties:
final energy	-3.93	eV per atom
total magnetization	0.00	μB per cell
SG	No. 149
crystal system	trigonal

a b c (Å): 4.473 4.473 4.269
angles (deg): 90.02 90.01 60.00
Fractional coordinates of all 9 atoms:
H  0.485  0.028  0.743
H  0.485  0.487  0.257
H  0.028  0.485  0.257
H  0.487  0.028  0.257
H  0.028  0.487  0.743
H  0.487  0.485  0.743
Co  0.333  0.333  0.500
Cu  0.667  0.667  0.500
Ca  0.000  0.000  0.000

=====

A plane-wave DFT calculation with PBE was carried out for Ca2CoCuH after structural relaxation.

Computed properties:
final energy	-3.74	eV per atom
total magnetization	0.58	μB per cell
SG	No. 123
crystal system	tetragonal

a b c (Å): 4.971 4.971 3.456
angles (deg): 90.00 90.00 90.00
Fractional coordinates of all 5 atoms:
H  0.000  0.000  0.000
Cu  0.500  0.500  0.500
Ca  0.500  0.000  0.000
Ca  0.000  0.500  0.000
Co  0.000  0.000  0.500